No. 1
Density functional theory data (PBE) for a relaxed PmYU crystal.

Properties
SG: No. 12
Crystal system: monoclinic
Formation energy from the elements (meV/atom): 244
Total magnetic moment (μB per cell): 2.31

```
PmYU
1.0
3.6475 0.0000 0.0000
0.0000 5.8970 -0.0755
-1.8237 -1.4077 8.4161
U Pm Y
2 2 2
direct
0.2399 0.8514 0.4798 U
0.7601 0.1486 0.5202 U
0.8820 0.6864 0.7640 Pm
0.1180 0.3136 0.2360 Pm
0.4296 0.2055 0.8592 Y
0.5704 0.7945 0.1408 Y
```

No. 2
Density functional theory data (PBE) for a relaxed PtPbCl5 crystal.

Properties
SG: No. 15
Uncorrected energy (eV per atom): -3.390
Crystal system: monoclinic
Total magnetic moment (μB per cell): 0.00

```
PtPbCl5
1.0
6.3734 -0.0805 -1.6604
-2.7329 5.9671 -0.5559
-0.5038 -0.3620 10.1273
Cl Pb Pt
10 2 2
direct
0.2279 0.3849 0.0199 Cl
0.5434 0.3429 0.6230 Cl
0.4566 0.6571 0.3770 Cl
0.3036 0.0536 0.2500 Cl
0.8650 0.2080 0.4801 Cl
0.1350 0.7920 0.5199 Cl
0.6964 0.9464 0.7500 Cl
0.7801 0.0796 0.1230 Cl
0.7721 0.6151 0.9801 Cl
0.2199 0.9204 0.8770 Cl
0.2994 0.5494 0.7500 Pb
0.7006 0.4506 0.2500 Pb
0.5000 0.0000 0.5000 Pt
0.0000 0.0000 0.0000 Pt
```

- What is the total magnetic moment in the first record?
  2.31 μB per cell

- Number 1 is which compound?
  PmYU

Please write out number 1 again, unchanged.
Density functional theory data (PBE) for a relaxed PmYU crystal.

Properties
SG: No. 12
Crystal system: monoclinic
Formation energy from the elements (meV/atom): 244
Total magnetic moment (μB per cell): 2.31

```
PmYU
1.0
3.6475 0.0000 0.0000
0.0000 5.8970 -0.0755
-1.8237 -1.4077 8.4161
U Pm Y
2 2 2
direct
0.2399 0.8514 0.4798 U
0.7601 0.1486 0.5202 U
0.8820 0.6864 0.7640 Pm
0.1180 0.3136 0.2360 Pm
0.4296 0.2055 0.8592 Y
0.5704 0.7945 0.1408 Y
```